1.
Compound: TbPmSnHg
Source: the Alexandria database
Functional: PBE
Structure: optimized geometry

Properties
As for the excess energy over the best structure of this formula in the dataset: 0.000 eV per atom. As for the energy of formation from the pure elements: -0.587 eV/atom.

Lattice parameters (Å, degrees): 5.3594 5.3594 5.3594 60.00 60.00 60.00
Fractional coordinates of all 4 atoms:
Tb 0.0000 0.0000 0.0000
Pm 0.5000 0.5000 0.5000
Sn 0.7500 0.7500 0.7500
Hg 0.2500 0.2500 0.2500

---

2.
Compound: PuTc2PN
Source: the Alexandria database
Functional: PBE
Structure: optimized geometry

Properties
The uncorrected formation energy is -0.6831 eV/atom.

Lattice parameters (Å, degrees): 6.1550 6.1550 7.3556 90.00 90.00 148.37
Fractional coordinates of all 10 atoms:
Pu 0.0394 0.9606 0.7500
Pu 0.9606 0.0394 0.2500
Tc 0.3357 0.6643 0.5540
Tc 0.3357 0.6643 0.9460
Tc 0.6643 0.3357 0.0540
Tc 0.6643 0.3357 0.4460
P 0.2438 0.7562 0.2500
P 0.7562 0.2438 0.7500
N 0.5000 0.5000 0.0000
N 0.5000 0.5000 0.5000

---

3.
Compound: Be3Cu2
Source: the Alexandria database
Functional: PBE
Structure: optimized geometry

Properties
As for the excess energy over the best structure of this formula in the dataset: 0.022 eV per atom. As for the energy of formation from the pure elements: -0.058 eV/atom.

Lattice parameters (Å, degrees): 5.9976 4.4710 6.8229 59.93 40.18 79.90
Fractional coordinates of all 10 atoms:
Be 0.0000 0.0000 0.0000
Be 0.2500 0.2500 0.2500
Be 0.3888 0.4928 0.4060
Be 0.4928 0.3888 0.7124
Be 0.5376 0.8440 0.7572
Be 0.8440 0.5376 0.8612
Cu 0.0723 0.7574 0.3193
Cu 0.3991 0.9307 0.4926
Cu 0.7574 0.0723 0.8509
Cu 0.9307 0.3991 0.1777

---

4.
Compound: KMn2Tl
Source: the Alexandria database
Functional: PBE
Structure: optimized geometry

Properties
As for the excess energy over the best structure of this formula in the dataset: 0.257 eV per atom. As for the energy of formation from the pure elements: 0.829 eV/atom.

Lattice parameters (Å, degrees): 10.3068 10.3068 10.3068 150.09 150.09 42.80
Fractional coordinates of all 8 atoms:
K 0.3750 0.6250 0.7500
K 0.6250 0.3750 0.2500
Mn 0.0000 0.0000 0.0000
Mn 0.0000 0.0000 0.5000
Mn 0.0000 0.5000 0.0000
Mn 0.5000 0.0000 0.5000
Tl 0.1250 0.8750 0.2500
Tl 0.8750 0.1250 0.7500

---

5.
Compound: CdPb7
Source: the Alexandria database
Functional: PBE
Structure: optimized geometry

Properties
As for the energy of formation from the pure elements: 0.030 eV/atom.

Lattice parameters (Å, degrees): 7.0309 7.0309 7.0309 60.00 60.00 60.00
Fractional coordinates of all 8 atoms:
Cd 0.0000 0.0000 0.0000
Pb 0.0000 0.0000 0.5000
Pb 0.0000 0.5000 0.0000
Pb 0.0000 0.5000 0.5000
Pb 0.5000 0.0000 0.0000
Pb 0.5000 0.0000 0.5000
Pb 0.5000 0.5000 0.0000
Pb 0.5000 0.5000 0.5000

---

no.,E (eV for the cell shown)
1,-16.0
2,-104.4
3,-39.3
4,-37.0
5,-26.6